Computed, not measured: an optimized crystal structure of Tl2CdRhO6 at the PBE level of DFT.

Lattice parameters (Å, degrees): 5.617 5.734 8.274 90.00 89.88 90.00
Each line ends with the local moment (μB).
Sites, in units of the cell vectors:
O: 0.296 0.675 0.047  0.08
O: 0.379 0.913 0.722  0.03
O: 0.174 0.222 0.090  0.05
O: 0.879 0.587 0.222  0.03
O: 0.121 0.413 0.778  0.03
O: 0.621 0.087 0.278  0.03
O: 0.204 0.175 0.453  0.08
O: 0.326 0.722 0.410  0.05
O: 0.826 0.778 0.910  0.05
O: 0.704 0.325 0.953  0.08
O: 0.674 0.278 0.590  0.05
O: 0.796 0.825 0.547  0.08
Tl: 0.986 0.043 0.736  0.00
Tl: 0.014 0.957 0.264  0.00
Tl: 0.514 0.543 0.764  0.00
Tl: 0.486 0.457 0.236  0.00
Rh: 0.000 0.500 0.000  0.55
Rh: 0.500 0.000 0.500  0.55
Cd: 0.500 0.000 0.000  0.01
Cd: 0.000 0.500 0.500  0.01

Calculated values
The value obtained for the electronic total energy is -99.99 eV per cell. As for the uncorrected formation energy: -69.93 kJ/mol of atoms. The calculation puts the calculated volume at 266 Å³/cell.

Computed, not measured: an optimized crystal structure of SmEr2CdN at the PBE level of DFT.

Lattice parameters (Å, degrees): 4.971 4.776 4.776 90.00 90.00 90.00
Sites, in units of the cell vectors:
Cd: 0.500 0.500 0.500
N: 0.000 0.000 0.000
Sm: 0.500 0.000 0.000
Er: 0.000 0.500 0.000
Er: 0.000 0.000 0.500

Calculated values
The value obtained for the electronic total energy is -27.23 eV per cell. As for the uncorrected formation energy: -80.07 kJ/mol of atoms. The calculation puts the calculated volume at 113 Å³/cell.

Computed, not measured: an optimized crystal structure of Li2MnTc at the PBE level of DFT.

Lattice parameters (Å, degrees): 6.849 6.849 5.396 50.60 50.60 90.00
Each line ends with the local moment (μB).
Sites, in units of the cell vectors:
Mn: 0.250 0.750 0.500  3.24
Mn: 0.500 0.500 0.000  3.24
Li: 0.375 0.381 0.750  0.00
Li: 0.875 0.869 0.750  0.00
Li: 0.619 0.125 0.250  0.00
Li: 0.131 0.625 0.250  0.00
Tc: 0.000 0.000 0.000  -0.31
Tc: 0.750 0.250 0.500  -0.30

Calculated values
The value obtained for the electronic total energy is -41.03 eV per cell. Its energy of formation from the pure elements is 712.2 meV/atom. The calculation puts the calculated volume at 112 Å³/cell.

Computed, not measured: an optimized crystal structure of Cd2In at the PBE level of DFT.

Lattice parameters (Å, degrees): 14.042 14.326 14.326 161.59 161.43 26.40
Sites, in units of the cell vectors:
Cd: 0.252 0.250 0.003
Cd: 0.414 0.418 0.997
Cd: 0.503 0.000 0.503
Cd: 0.583 0.582 0.001
Cd: 0.836 0.332 0.503
Cd: 0.998 0.500 0.497
Cd: 0.747 0.750 0.997
Cd: 0.667 0.168 0.499
In: 0.090 0.082 0.008
In: 0.917 0.918 0.999
In: 0.333 0.832 0.501
In: 0.160 0.668 0.492

Calculated values
The value obtained for the electronic total energy is -18.05 eV per cell. Its energy of formation from the pure elements is 18.5 meV/atom. The calculation puts the calculated volume at 290 Å³/cell.

Computed, not measured: an optimized crystal structure of TaV2AgSb at the PBE level of DFT.

Lattice parameters (Å, degrees): 4.776 5.253 4.776 90.00 90.00 90.00
Each line ends with the local moment (μB).
Sites, in units of the cell vectors:
Ta: 0.000 0.000 0.000  -0.20
V: 0.000 0.000 0.500  1.29
V: 0.500 0.000 0.000  1.85
Sb: 0.000 0.500 0.000  -0.03
Ag: 0.500 0.500 0.500  0.00

Calculated values
The value obtained for the electronic total energy is -30.62 eV per cell. As for the uncorrected formation energy: 124.30 kJ/mol of atoms. The calculation puts the calculated volume at 120 Å³/cell.

Computed, not measured: an optimized crystal structure of CoGeN3 at the PBE level of DFT.

Lattice parameters (Å, degrees): 3.749 3.749 3.749 90.00 90.00 90.00
Each line ends with the local moment (μB).
Sites, in units of the cell vectors:
N: 0.500 0.000 0.000  -0.07
N: 0.000 0.500 0.000  -0.13
N: 0.000 0.000 0.500  -0.07
Co: 0.500 0.500 0.500  2.16
Ge: 0.000 0.000 0.000  0.00

Calculated values
The value obtained for the electronic total energy is -28.06 eV per cell. As for the uncorrected formation energy: 166.81 kJ/mol of atoms. The calculation puts the calculated volume at 53 Å³/cell.

Computed, not measured: an optimized crystal structure of SrPtCl2 at the PBE level of DFT.

Lattice parameters (Å, degrees): 4.268 4.853 4.871 86.05 90.00 90.00
Sites, in units of the cell vectors:
Pt: 0.500 0.250 0.250
Cl: 0.000 0.030 0.030
Cl: 0.000 0.470 0.470
Sr: 0.500 0.750 0.750

Calculated values
The value obtained for the electronic total energy is -15.11 eV per cell. As for the uncorrected formation energy: -89.07 kJ/mol of atoms. The calculation puts the calculated volume at 101 Å³/cell.

Computed, not measured: an optimized crystal structure of MnBiSeBr2 at the PBE level of DFT.

Lattice parameters (Å, degrees): 5.171 6.056 5.171 90.00 90.00 90.00
Each line ends with the local moment (μB).
Sites, in units of the cell vectors:
Se: 0.000 0.000 0.000  -0.03
Mn: 0.500 0.500 0.500  4.52
Br: 0.500 0.000 0.000  -0.01
Br: 0.000 0.000 0.500  0.01
Bi: 0.000 0.500 0.000  -0.29

Calculated values
The value obtained for the electronic total energy is -17.20 eV per cell. As for the uncorrected formation energy: 51.73 kJ/mol of atoms. The calculation puts the calculated volume at 162 Å³/cell.

Computed, not measured: an optimized crystal structure of MoPt2 at the PBE level of DFT.

Lattice parameters (Å, degrees): 4.562 4.860 4.845 120.10 90.00 90.00
Sites, in units of the cell vectors:
Pt: 0.750 0.988 0.328
Pt: 0.250 0.340 0.328
Pt: 0.750 0.660 0.672
Pt: 0.250 0.012 0.672
Mo: 0.750 0.322 0.000
Mo: 0.250 0.678 0.000

Calculated values
The value obtained for the electronic total energy is -48.02 eV per cell. Its energy of formation from the pure elements is -366.0 meV/atom. The calculation puts the calculated volume at 93 Å³/cell.

Computed, not measured: an optimized crystal structure of Er2TmPaCo2 at the PBE level of DFT.

Lattice parameters (Å, degrees): 6.669 6.735 7.859 115.37 115.10 90.00
Sites, in units of the cell vectors:
Er: 0.701 0.907 0.401
Er: 0.299 0.093 0.599
Er: 0.201 0.494 0.401
Er: 0.799 0.506 0.599
Co: 0.909 0.200 0.818
Co: 0.091 0.800 0.182
Co: 0.591 0.383 0.182
Co: 0.409 0.617 0.818
Tm: 0.750 0.000 0.000
Tm: 0.250 0.000 0.000
Pa: 0.250 0.500 0.000
Pa: 0.750 0.500 0.000

Calculated values
The value obtained for the electronic total energy is -76.99 eV per cell. Its energy of formation from the pure elements is -198.4 meV/atom. The calculation puts the calculated volume at 282 Å³/cell.

Computed, not measured: an optimized crystal structure of K2GaI4 at the PBE level of DFT.

Lattice parameters (Å, degrees): 5.757 5.757 9.992 106.74 106.74 90.00
Sites, in units of the cell vectors:
I: 0.500 0.000 0.000
I: 0.166 0.166 0.333
I: 0.834 0.834 0.667
I: 0.000 0.500 0.000
Ga: 0.000 0.000 0.000
K: 0.641 0.641 0.282
K: 0.359 0.359 0.718

Calculated values
The value obtained for the electronic total energy is -18.13 eV per cell. As for the uncorrected formation energy: -92.42 kJ/mol of atoms. The calculation puts the calculated volume at 302 Å³/cell.

Computed, not measured: an optimized crystal structure of ScMnTl3 at the PBE level of DFT.

Lattice parameters (Å, degrees): 5.062 5.062 5.062 90.00 90.00 90.00
Sites, in units of the cell vectors:
Tl: 0.000 0.500 0.000
Tl: 0.000 0.000 0.500
Tl: 0.500 0.000 0.000
Sc: 0.500 0.500 0.500
Mn: 0.000 0.000 0.000

Calculated values
The value obtained for the electronic total energy is -19.63 eV per cell. Its energy of formation from the pure elements is 594.0 meV/atom. The calculation puts the calculated volume at 130 Å³/cell.